Entry 1:
VASP calculation (SCAN) on a crystal of K3Au3Br8 relaxed with PBEsol.

Calculated values
raw formation energy = -957.4 meV per atom
VASP energy = -28.68 eV per atom
ρ = 5344 kg/m3
M_tot = 0.0 μB/f.u.

Cell lengths 7.080, 7.080, 18.360 Å; angles 82.23, 82.23, 67.22 degrees
Element x y z (fractional)
K 0.707 0.653 0.926
K 0.293 0.347 0.074
K 0.347 0.293 0.574
K 0.653 0.707 0.426
K 0.974 0.026 0.750
K 0.026 0.974 0.250
Au 0.000 0.000 0.500
Au 0.000 0.000 0.000
Au 0.596 0.611 0.696
Au 0.404 0.389 0.304
Au 0.389 0.404 0.804
Au 0.611 0.596 0.196
Br 0.299 0.737 0.626
Br 0.701 0.263 0.374
Br 0.263 0.701 0.874
Br 0.737 0.299 0.126
Br 0.490 0.096 0.741
Br 0.510 0.904 0.259
Br 0.904 0.510 0.759
Br 0.096 0.490 0.241
Br 0.769 0.840 0.575
Br 0.231 0.160 0.425
Br 0.160 0.231 0.925
Br 0.840 0.769 0.075
Br 0.703 0.149 0.924
Br 0.297 0.851 0.076
Br 0.851 0.297 0.576
Br 0.149 0.703 0.424

Entry 2:
VASP calculation (SCAN) on a crystal of BeInTe2 relaxed with PBEsol.

Calculated values
raw formation energy = 160.2 meV per atom
VASP energy = -27.90 eV per atom
offset from the most stable computed form = 252 meV per atom
ρ = 6420 kg/m3
M_tot = 0.0 μB/f.u.

Cell lengths 3.619, 3.769, 7.648 Å; angles 104.26, 103.69, 90.00 degrees
Element x y z (fractional)
Be 0.453 0.453 0.906
Te 0.025 0.025 0.050
Te 0.823 0.323 0.647
In 0.199 0.699 0.397

Entry 3:
VASP calculation (SCAN) on a crystal of Hg4IrPb relaxed with PBEsol.

Calculated values
VASP energy = -69.24 eV per atom
formation energy = 0.685 eV/atom
ρ = 15600 kg/m3
M_tot = 0.0 μB/f.u.

Cell lengths 5.656, 5.656, 5.656 Å; angles 60.00, 60.00, 60.00 degrees
Element x y z (fractional)
Hg 0.127 0.624 0.624
Hg 0.624 0.624 0.624
Hg 0.624 0.127 0.624
Hg 0.624 0.624 0.127
Ir 0.250 0.250 0.250
Pb 0.000 0.000 0.000

Entry 4:
VASP calculation (SCAN) on a crystal of K2Bi2Pd relaxed with PBEsol.

Calculated values
VASP energy = -41.69 eV per atom
formation energy = -0.368 eV/atom
ρ = 6530 kg/m3
M_tot = 0.0 μB/f.u.

Cell lengths 5.848, 7.239, 7.239 Å; angles 90.00, 90.00, 90.00 degrees
Element x y z (fractional)
K 0.500 0.168 0.668
K 0.500 0.668 0.832
K 0.500 0.832 0.332
K 0.500 0.332 0.168
Bi 0.000 0.349 0.849
Bi 0.000 0.849 0.651
Bi 0.000 0.651 0.151
Bi 0.000 0.151 0.349
Pd 0.000 0.000 0.000
Pd 0.000 0.500 0.500

Entry 5:
VASP calculation (SCAN) on a crystal of CaTe2Au relaxed with PBEsol.

Calculated values
raw formation energy = -600.8 meV per atom
VASP energy = -38.93 eV per atom
ρ = 8493 kg/m3
M_tot = 0.0 μB/f.u.

Cell lengths 3.972, 4.923, 4.923 Å; angles 91.12, 90.00, 90.00 degrees
Element x y z (fractional)
Ca 0.500 0.500 0.500
Te 0.000 0.500 0.000
Te 0.000 0.000 0.500
Au 0.500 0.000 0.000

Entry 6:
VASP calculation (SCAN) on a crystal of SrAg2Cl relaxed with PBEsol.

Calculated values
raw formation energy = -810.4 meV per atom
VASP energy = -24.06 eV per atom
offset from the most stable computed form = 0 meV per atom
ρ = 5089 kg/m3
M_tot = 0.0 μB/f.u.

Cell lengths 4.561, 4.561, 6.678 Å; angles 70.03, 70.03, 60.00 degrees
Element x y z (fractional)
Sr 0.753 0.753 0.741
Ag 0.975 0.975 0.075
Ag 0.303 0.303 0.092
Cl 0.489 0.489 0.532

Entry 7:
VASP calculation (SCAN) on a crystal of AlNi6Pd relaxed with PBEsol.

Calculated values
VASP energy = -17.39 eV per atom
formation energy = -0.195 eV/atom
ρ = 9025 kg/m3
M_tot = 3.4 μB/f.u.

Cell lengths 3.554, 3.554, 7.071 Å; angles 90.00, 90.00, 90.00 degrees
Element x y z (fractional)
Ni 0.500 0.500 0.000
Ni 0.500 0.500 0.500
Ni 0.500 0.000 0.243
Ni 0.500 0.000 0.757
Ni 0.000 0.500 0.243
Ni 0.000 0.500 0.757
Al 0.000 0.000 0.000
Pd 0.000 0.000 0.500

Entry 8:
VASP calculation (SCAN) on a crystal of CdFeCoCl2 relaxed with PBEsol.

Calculated values
raw formation energy = 324.4 meV per atom
VASP energy = -16.04 eV per atom
ρ = 4931 kg/m3
M_tot = 5.1 μB/f.u.

Cell lengths 4.342, 4.342, 5.325 Å; angles 90.00, 90.00, 90.00 degrees
Element x y z (fractional)
Cl 0.000 0.500 0.000
Cl 0.500 0.000 0.000
Co 0.000 0.000 0.000
Fe 0.500 0.500 0.500
Cd 0.000 0.000 0.500

Entry 9:
VASP calculation (SCAN) on a crystal of MgAl2Sb relaxed with PBEsol.

Calculated values
raw formation energy = 123.0 meV per atom
VASP energy = -14.31 eV per atom
ρ = 3978 kg/m3
M_tot = 0.0 μB/f.u.

Cell lengths 3.257, 3.257, 9.284 Å; angles 79.90, 79.90, 60.00 degrees
Element x y z (fractional)
Sb 0.254 0.254 0.239
Mg 0.495 0.495 0.515
Al 0.006 0.006 0.983
Al 0.746 0.746 0.763

Entry 10:
VASP calculation (SCAN) on a crystal of YSi3Au relaxed with PBEsol.

Calculated values
raw formation energy = 1558.2 meV per atom
VASP energy = -23.85 eV per atom
ρ = 4482 kg/m3
M_tot = 0.0 μB/f.u.

Cell lengths 5.157, 5.157, 5.157 Å; angles 90.00, 90.00, 90.00 degrees
Element x y z (fractional)
Y 0.000 0.000 0.000
Si 0.000 0.500 0.000
Si 0.000 0.000 0.500
Si 0.500 0.000 0.000
Au 0.500 0.500 0.500

Entry 11:
VASP calculation (SCAN) on a crystal of CdAgAu2 relaxed with PBEsol.

Calculated values
VASP energy = -50.11 eV per atom
formation energy = -0.084 eV/atom
ρ = 14625 kg/m3
M_tot = 0.0 μB/f.u.

Cell lengths 2.936, 2.936, 9.495 Å; angles 81.11, 81.11, 60.00 degrees
Element x y z (fractional)
Au 0.252 0.252 0.245
Au 0.748 0.748 0.755
Ag 0.000 0.000 0.000
Cd 0.500 0.500 0.500

Entry 12:
VASP calculation (SCAN) on a crystal of Li3CrO4 relaxed with PBEsol.

Calculated values
raw formation energy = -2185.7 meV per atom
VASP energy = -8.50 eV per atom
offset from the most stable computed form = 68 meV per atom
ρ = 3498 kg/m3
M_tot = 1.0 μB/f.u.

Cell lengths 5.672, 5.693, 12.373 Å; angles 102.76, 90.00, 90.00 degrees
Element x y z (fractional)
Li 0.513 0.000 0.000
Li 0.022 0.000 0.000
Li 0.801 0.000 0.500
Li 0.292 0.000 0.500
Li 0.276 0.157 0.833
Li 0.778 0.173 0.838
Li 0.037 0.338 0.671
Li 0.039 0.157 0.333
Li 0.530 0.500 0.000
Li 0.536 0.173 0.338
Li 0.278 0.337 0.171
Li 0.785 0.500 0.500
Li 0.278 0.663 0.829
Li 0.536 0.827 0.662
Li 0.039 0.843 0.667
Li 0.037 0.662 0.329
Li 0.778 0.827 0.162
Li 0.276 0.843 0.167
Cr 0.541 0.303 0.666
Cr 0.057 0.500 0.000
Cr 0.773 0.303 0.166
Cr 0.257 0.500 0.500
Cr 0.773 0.697 0.834
Cr 0.541 0.697 0.334
O 0.305 0.108 0.671
O 0.256 0.266 0.996
O 0.769 0.099 0.662
O 0.544 0.427 0.819
O 0.010 0.108 0.171
O 0.058 0.266 0.496
O 0.012 0.433 0.848
O 0.545 0.099 0.162
O 0.529 0.274 0.513
O 0.786 0.726 0.987
O 0.303 0.567 0.652
O 0.771 0.573 0.681
O 0.771 0.427 0.319
O 0.303 0.433 0.348
O 0.786 0.274 0.013
O 0.529 0.726 0.487
O 0.545 0.901 0.838
O 0.012 0.567 0.152
O 0.058 0.734 0.504
O 0.010 0.892 0.829
O 0.544 0.573 0.181
O 0.769 0.901 0.338
O 0.256 0.734 0.004
O 0.305 0.892 0.329

Entry 13:
VASP calculation (SCAN) on a crystal of Tc2MoIr relaxed with PBEsol.

Calculated values
VASP energy = -44.11 eV per atom
formation energy = -0.088 eV/atom
offset from the most stable computed form = 89 meV per atom
ρ = 14049 kg/m3
M_tot = 0.0 μB/f.u.

Cell lengths 2.708, 4.721, 4.741 Å; angles 99.30, 90.00, 106.67 degrees
Element x y z (fractional)
Ir 0.498 0.995 0.498
Mo 0.248 0.496 0.745
Tc 0.002 0.003 0.011
Tc 0.753 0.506 0.245

Entry 14:
VASP calculation (SCAN) on a crystal of CoPb2Cl relaxed with PBEsol.

Calculated values
raw formation energy = 199.3 meV per atom
VASP energy = -44.01 eV per atom
offset from the most stable computed form = 78 meV per atom
ρ = 9285 kg/m3
M_tot = 1.8 μB/f.u.

Cell lengths 4.077, 5.184, 5.423 Å; angles 118.56, 112.08, 90.00 degrees
Element x y z (fractional)
Pb 0.703 0.703 0.405
Pb 0.297 0.297 0.595
Co 0.000 0.500 0.000
Cl 0.500 0.000 0.000

Entry 15:
VASP calculation (SCAN) on a crystal of Bi2HRu relaxed with PBEsol.

Calculated values
VASP energy = -48.18 eV per atom
ρ = 11594 kg/m3
M_tot = 0.0 μB/f.u.

Cell lengths 5.795, 5.795, 5.795 Å; angles 104.51, 112.01, 112.01 degrees
Element x y z (fractional)
Ru 0.000 0.000 0.000
Ru 0.500 0.750 0.250
Bi 0.055 0.875 0.430
Bi 0.945 0.375 0.820
Bi 0.445 0.570 0.625
Bi 0.555 0.180 0.125
H 0.000 0.500 0.500
H 0.500 0.250 0.750

Entry 16:
VASP calculation (SCAN) on a crystal of Y2HgPb relaxed with PBEsol.

Calculated values
VASP energy = -50.49 eV per atom
formation energy = -0.585 eV/atom
ρ = 8651 kg/m3
M_tot = 0.0 μB/f.u.

Cell lengths 3.631, 5.034, 6.150 Å; angles 90.00, 90.00, 90.00 degrees
Element x y z (fractional)
Hg 0.000 0.000 0.376
Pb 0.500 0.500 0.874
Y 0.000 0.000 0.876
Y 0.500 0.500 0.374

Entry 17:
VASP calculation (SCAN) on a crystal of Nd4PdO7 relaxed with PBEsol.

Calculated values
raw formation energy = -3204.4 meV per atom
VASP energy = -24.10 eV per atom
ρ = 7592 kg/m3
M_tot = 0.0 μB/f.u.

Cell lengths 6.854, 7.115, 7.879 Å; angles 71.69, 72.56, 83.65 degrees
Element x y z (fractional)
Nd 0.667 0.840 0.376
Nd 0.333 0.160 0.624
Nd 0.656 0.852 0.863
Nd 0.344 0.148 0.137
Nd 0.789 0.398 0.719
Nd 0.211 0.602 0.281
Nd 0.768 0.401 0.209
Nd 0.232 0.599 0.791
Pd 0.000 0.000 0.500
Pd 0.000 0.000 0.000
O 0.955 0.063 0.744
O 0.045 0.937 0.256
O 0.707 0.097 0.516
O 0.293 0.903 0.484
O 0.721 0.127 0.072
O 0.279 0.873 0.928
O 0.424 0.316 0.308
O 0.576 0.684 0.692
O 0.445 0.286 0.819
O 0.555 0.714 0.181
O 0.140 0.422 0.106
O 0.860 0.578 0.894
O 0.153 0.452 0.598
O 0.847 0.548 0.402

Entry 18:
VASP calculation (SCAN) on a crystal of Li16Ta2N8O relaxed with PBEsol.

Calculated values
raw formation energy = -1091.4 meV per atom
VASP energy = -10.42 eV per atom
ρ = 3897 kg/m3
M_tot = 0.0 μB/f.u.

Cell lengths 5.931, 5.931, 9.078 Å; angles 70.93, 70.93, 60.00 degrees
Element x y z (fractional)
Li 0.583 0.583 0.251
Li 0.417 0.417 0.749
Li 0.922 0.922 0.233
Li 0.078 0.078 0.767
Li 0.317 0.942 0.071
Li 0.942 0.670 0.071
Li 0.670 0.317 0.071
Li 0.683 0.058 0.929
Li 0.058 0.330 0.929
Li 0.330 0.683 0.929
Li 0.826 0.167 0.426
Li 0.419 0.174 0.574
Li 0.833 0.419 0.574
Li 0.174 0.833 0.574
Li 0.581 0.826 0.426
Li 0.167 0.581 0.426
Ta 0.751 0.751 0.748
Ta 0.249 0.249 0.252
N 0.775 0.088 0.674
N 0.673 0.673 0.980
N 0.327 0.327 0.020
N 0.088 0.464 0.674
N 0.464 0.775 0.674
N 0.536 0.225 0.326
N 0.912 0.536 0.326
N 0.225 0.912 0.326
O 0.000 0.000 0.000

Entry 19:
VASP calculation (SCAN) on a crystal of Na3FeO4 relaxed with PBEsol.

Calculated values
raw formation energy = -1642.5 meV per atom
VASP energy = -8.60 eV per atom
ρ = 3580 kg/m3
M_tot = 3.0 μB/f.u.

Cell lengths 5.148, 5.688, 6.359 Å; angles 90.00, 90.00, 109.80 degrees
Element x y z (fractional)
Na 0.250 0.500 0.381
Na 0.750 0.500 0.619
Na 0.250 0.000 0.114
Na 0.750 0.000 0.886
Na 0.250 0.000 0.629
Na 0.750 0.000 0.371
Fe 0.250 0.500 0.873
Fe 0.750 0.500 0.127
O 0.447 0.716 0.681
O 0.947 0.716 0.319
O 0.053 0.284 0.681
O 0.553 0.284 0.319
O 0.007 0.685 0.905
O 0.507 0.685 0.095
O 0.993 0.315 0.095
O 0.493 0.315 0.905

Entry 20:
VASP calculation (SCAN) on a crystal of Be2CuTc relaxed with PBEsol.

Calculated values
VASP energy = -14.77 eV per atom
formation energy = -0.026 eV/atom
offset from the most stable computed form = 138 meV per atom
ρ = 7314 kg/m3
M_tot = 0.0 μB/f.u.

Cell lengths 2.632, 2.632, 5.883 Å; angles 90.00, 90.00, 90.00 degrees
Element x y z (fractional)
Be 0.000 0.000 0.040
Be 0.500 0.500 0.232
Tc 0.500 0.500 0.775
Cu 0.000 0.000 0.452

Entry 21:
VASP calculation (SCAN) on a crystal of CoMo2Cl relaxed with PBEsol.

Calculated values
raw formation energy = 513.9 meV per atom
VASP energy = -23.25 eV per atom
offset from the most stable computed form = 205 meV per atom
ρ = 8344 kg/m3
M_tot = 0.0 μB/f.u.

Cell lengths 3.033, 3.033, 6.192 Å; angles 90.00, 90.00, 90.00 degrees
Element x y z (fractional)
Mo 0.000 0.000 0.975
Mo 0.500 0.500 0.233
Co 0.500 0.500 0.778
Cl 0.000 0.000 0.514

Entry 22:
VASP calculation (SCAN) on a crystal of LaAsRu2 relaxed with PBEsol.

Calculated values
VASP energy = -33.01 eV per atom
formation energy = 0.225 eV/atom
ρ = 9616 kg/m3
M_tot = 3.2 μB/f.u.

Cell lengths 4.666, 4.666, 4.666 Å; angles 60.00, 60.00, 60.00 degrees
Element x y z (fractional)
Ru 0.000 0.000 0.000
Ru 0.750 0.750 0.750
As 0.500 0.500 0.500
La 0.250 0.250 0.250